# 1
CePm3Se4: optimized geometry, PBE-GGA.

Cell: 5.936 5.936 7.273 Å, 114.08 114.08 90.00°
Last column: magnetic moment on the atom in μB.
Atoms (fractional coordinates):
Se: 0.000 0.500 0.000  -0.01
Se: 0.500 0.000 0.000  -0.01
Se: 0.250 0.250 0.500  0.00
Se: 0.750 0.750 0.500  0.00
Ce: 0.000 0.000 0.000  0.88
Pm: 0.500 0.500 0.000  0.03
Pm: 0.750 0.250 0.500  0.04
Pm: 0.250 0.750 0.500  0.04

Summary:
- total DFT energy (no corrections) (eV/atom) = -6.10
- D(E_F) (states/eV/cell) = 8.1
- symmetry = No. 139
- ΔE_f (raw) (eV/atom) = -1.836



# 2
ZrTiNbCu: optimized geometry, PBE-GGA.

Cell: 2.914 2.914 8.278 Å, 90.00 90.00 90.00°
Atoms (fractional coordinates):
Zr: 0.000 0.000 0.095
Ti: 0.000 0.000 0.547
Nb: 0.500 0.500 0.802
Cu: 0.500 0.500 0.340

Summary:
- total DFT energy (no corrections) (eV/atom) = -7.65
- D(E_F) (states/eV/cell) = 4.2
- symmetry = No. 99
- E_form (kJ/mol of formula units) = -0.5



# 3
ZrHg3B: optimized geometry, PBE-GGA.

Cell: 4.638 4.638 4.638 Å, 90.00 90.00 90.00°
Atoms (fractional coordinates):
B: 0.000 0.000 0.000
Hg: 0.000 0.500 0.000
Hg: 0.000 0.000 0.500
Hg: 0.500 0.000 0.000
Zr: 0.500 0.500 0.500

Summary:
- total DFT energy (no corrections) (eV/atom) = -2.55
- D(E_F) (states/eV/cell) = 2.4
- symmetry = No. 221
- E_form (kJ/mol of formula units) = 323.8



# 4
YTc2Pt2: optimized geometry, PBE-GGA.

Cell: 4.197 4.197 6.152 Å, 70.05 70.05 90.00°
Atoms (fractional coordinates):
Y: 0.000 0.000 0.000
Tc: 0.399 0.399 0.203
Tc: 0.601 0.601 0.797
Pt: 0.750 0.250 0.500
Pt: 0.250 0.750 0.500

Summary:
- total DFT energy (no corrections) (eV/atom) = -8.08
- D(E_F) (states/eV/cell) = 7.1
- symmetry = No. 139
- E_form (kJ/mol of formula units) = -109.4



# 5
CaNp2TcN4: optimized geometry, PBE-GGA.

Cell: 3.327 6.088 11.541 Å, 90.00 90.00 105.86°
Last column: magnetic moment on the atom in μB.
Atoms (fractional coordinates):
Ca: 0.106 0.213 0.750  -0.01
Ca: 0.894 0.787 0.250  -0.01
Np: 0.369 0.739 0.550  2.51
Np: 0.631 0.261 0.050  2.51
Np: 0.631 0.261 0.450  2.51
Np: 0.369 0.739 0.950  2.51
Tc: 0.843 0.687 0.750  -0.19
Tc: 0.157 0.313 0.250  -0.19
N: 0.267 0.534 0.111  -0.10
N: 0.733 0.466 0.611  -0.10
N: 0.733 0.466 0.889  -0.10
N: 0.267 0.534 0.389  -0.10
N: 0.000 0.000 0.500  -0.15
N: 0.000 0.000 0.000  -0.15
N: 0.453 0.905 0.750  -0.06
N: 0.547 0.095 0.250  -0.06

Summary:
- total DFT energy (no corrections) (eV/atom) = -9.76
- D(E_F) (states/eV/cell) = 19.5
- symmetry = No. 63
- ΔE_f (raw) (eV/atom) = -0.818



# 6
Hf2NbTl: optimized geometry, PBE-GGA.

Cell: 6.641 5.060 10.758 Å, 90.00 108.74 90.00°
Atoms (fractional coordinates):
Hf: 0.489 0.000 0.748
Hf: 0.489 0.500 0.248
Hf: 0.611 0.000 0.497
Hf: 0.611 0.500 0.997
Hf: 0.133 0.000 0.493
Hf: 0.133 0.500 0.993
Hf: 0.243 0.000 0.236
Hf: 0.243 0.500 0.736
Nb: 0.012 0.000 0.741
Nb: 0.012 0.500 0.241
Nb: 0.349 0.000 0.969
Nb: 0.349 0.500 0.469
Tl: 0.876 0.000 0.991
Tl: 0.876 0.500 0.491
Tl: 0.733 0.000 0.232
Tl: 0.733 0.500 0.732

Summary:
- total DFT energy (no corrections) (eV/atom) = -8.01
- D(E_F) (states/eV/cell) = 13.2
- symmetry = No. 8
- E_form (kJ/mol of formula units) = 27.7



# 7
PaIrSe2: optimized geometry, PBE-GGA.

Cell: 3.292 3.292 9.308 Å, 79.81 79.81 60.00°
Atoms (fractional coordinates):
Pa: 0.500 0.500 0.500
Se: 0.087 0.087 0.739
Se: 0.913 0.913 0.261
Ir: 0.000 0.000 0.000

Summary:
- total DFT energy (no corrections) (eV/atom) = -6.42
- D(E_F) (states/eV/cell) = 6.4
- symmetry = No. 166
- ΔE_f (raw) (eV/atom) = -0.091



# 8
FeSbSe2: optimized geometry, PBE-GGA.

Cell: 3.473 4.935 5.370 Å, 59.77 90.00 90.00°
Atoms (fractional coordinates):
Fe: 0.500 0.250 0.250
Sb: 0.500 0.750 0.750
Se: 0.000 0.050 0.089
Se: 0.000 0.450 0.411

Summary:
- total DFT energy (no corrections) (eV/atom) = -4.90
- D(E_F) (states/eV/cell) = 2.7
- symmetry = No. 10
- ΔE_f (raw) (eV/atom) = -0.011



# 9
Y7Cl6: optimized geometry, PBE-GGA.

Cell: 12.607 12.607 12.607 Å, 29.79 29.79 29.79°
Last column: magnetic moment on the atom in μB.
Atoms (fractional coordinates):
Y: 0.582 0.085 0.582  0.17
Y: 0.582 0.582 0.085  0.17
Y: 0.085 0.582 0.582  0.17
Y: 0.418 0.915 0.418  0.17
Y: 0.915 0.418 0.418  0.17
Y: 0.418 0.418 0.915  0.17
Y: 0.500 0.500 0.500  0.41
Cl: 0.078 0.078 0.078  0.00
Cl: 0.922 0.922 0.922  0.00
Cl: 0.193 0.193 0.193  0.00
Cl: 0.807 0.807 0.807  0.00
Cl: 0.360 0.360 0.360  0.00
Cl: 0.640 0.640 0.640  0.00

Summary:
- total DFT energy (no corrections) (eV/atom) = -5.05
- D(E_F) (states/eV/cell) = 13.6
- symmetry = No. 166
- ΔE_f (raw) (eV/atom) = -0.720



# 10
MgMnPb2: optimized geometry, PBE-GGA.

Cell: 4.727 4.727 10.250 Å, 76.67 76.67 90.00°
Last column: magnetic moment on the atom in μB.
Atoms (fractional coordinates):
Pb: 0.639 0.125 0.250  0.00
Pb: 0.111 0.625 0.250  0.00
Pb: 0.375 0.361 0.750  -0.01
Pb: 0.875 0.889 0.750  -0.01
Mg: 0.500 0.500 0.000  0.00
Mg: 0.250 0.750 0.500  0.00
Mn: 0.000 0.000 0.000  4.00
Mn: 0.750 0.250 0.500  4.01

Summary:
- total DFT energy (no corrections) (eV/atom) = -4.17
- D(E_F) (states/eV/cell) = 4.6
- symmetry = No. 122
- E_form (kJ/mol of formula units) = 146.3



# 11
Tb4Sm4Al: optimized geometry, PBE-GGA.

Cell: 4.884 7.916 7.916 Å, 84.54 72.03 72.03°
Atoms (fractional coordinates):
Tb: 0.668 0.332 0.332
Tb: 0.332 0.668 0.668
Tb: 0.000 0.668 0.332
Tb: 0.000 0.332 0.668
Sm: 0.658 0.683 0.000
Sm: 0.342 0.317 0.000
Sm: 0.659 0.000 0.683
Sm: 0.341 0.000 0.317
Al: 0.000 0.000 0.000

Summary:
- total DFT energy (no corrections) (eV/atom) = -4.60
- D(E_F) (states/eV/cell) = 12.4
- symmetry = No. 139
- E_form (kJ/mol of formula units) = -22.0



# 12
YHoMnCu: optimized geometry, PBE-GGA.

Cell: 4.954 4.954 4.954 Å, 60.00 60.00 60.00°
Last column: magnetic moment on the atom in μB.
Atoms (fractional coordinates):
Y: 0.250 0.250 0.250  -0.13
Mn: 0.500 0.500 0.500  3.41
Ho: 0.750 0.750 0.750  -0.16
Cu: 0.000 0.000 0.000  0.01

Summary:
- total DFT energy (no corrections) (eV/atom) = -6.05
- D(E_F) (states/eV/cell) = 4.8
- symmetry = No. 216
- E_form (kJ/mol of formula units) = 11.9



# 13
CuSiMo2: optimized geometry, PBE-GGA.

Cell: 4.316 4.316 4.316 Å, 60.00 60.00 60.00°
Atoms (fractional coordinates):
Cu: 0.500 0.500 0.500
Mo: 0.000 0.000 0.000
Mo: 0.250 0.250 0.250
Si: 0.750 0.750 0.750

Summary:
- total DFT energy (no corrections) (eV/atom) = -7.69
- D(E_F) (states/eV/cell) = 3.3
- symmetry = No. 216
- ΔE_f (raw) (eV/atom) = 0.110



# 14
Li2MoW: optimized geometry, PBE-GGA.

Cell: 3.344 3.344 4.998 Å, 90.00 90.00 90.00°
Atoms (fractional coordinates):
Li: 0.000 0.000 0.001
Li: 0.000 0.000 0.499
Mo: 0.500 0.500 0.250
W: 0.500 0.500 0.750

Summary:
- total DFT energy (no corrections) (eV/atom) = -6.07
- D(E_F) (states/eV/cell) = 2.8
- symmetry = No. 123
- E_form (kJ/mol of formula units) = 319.6



# 15
Ac3ThSn3: optimized geometry, PBE-GGA.

Cell: 8.296 8.296 8.763 Å, 92.01 92.01 112.97°
Atoms (fractional coordinates):
Ac: 0.599 0.599 0.332
Ac: 0.161 0.839 0.500
Ac: 0.839 0.161 0.500
Ac: 0.231 0.769 0.000
Ac: 0.769 0.231 0.000
Ac: 0.401 0.401 0.668
Th: 0.762 0.762 0.899
Th: 0.238 0.238 0.101
Sn: 0.927 0.927 0.217
Sn: 0.867 0.510 0.703
Sn: 0.510 0.867 0.703
Sn: 0.133 0.490 0.297
Sn: 0.490 0.133 0.297
Sn: 0.073 0.073 0.783

Summary:
- total DFT energy (no corrections) (eV/atom) = -4.92
- D(E_F) (states/eV/cell) = 7.7
- symmetry = No. 12
- E_form (kJ/mol of formula units) = -256.4



# 16
K2BaNi: optimized geometry, PBE-GGA.

Cell: 4.124 4.124 11.077 Å, 90.00 90.00 90.05°
Last column: magnetic moment on the atom in μB.
Atoms (fractional coordinates):
Ba: 0.500 0.500 0.750  0.03
K: 0.000 0.000 0.087  0.00
K: 0.000 0.000 0.413  0.00
Ni: 0.500 0.500 0.250  0.71

Summary:
- total DFT energy (no corrections) (eV/atom) = -1.88
- D(E_F) (states/eV/cell) = 10.2
- symmetry = No. 123
- E_form (kJ/mol of formula units) = 229.6